[1]
Density functional theory data (PBE) for AcCdCl6 after structural relaxation.

As for the uncorrected energy: -3.448 eV per atom.

Cell and atoms, written as CIF:
```
data_AcCdCl6
_symmetry_space_group_name_H-M 'P -1'
_symmetry_Int_Tables_number 2
_cell_length_a 6.120
_cell_length_b 6.361
_cell_length_c 7.378
_cell_angle_alpha 68.62
_cell_angle_beta 71.13
_cell_angle_gamma 68.71
loop_
_symmetry_equiv_pos_as_xyz
'x,y,z'
'-x,-y,-z'
loop_
_atom_site_label
_atom_site_type_symbol
_atom_site_fract_x
_atom_site_fract_y
_atom_site_fract_z
Ac1 Ac 0.000 0.000 0.000
Cd1 Cd 0.500 0.500 0.500
Cl1 Cl 0.105 0.726 0.727
Cl2 Cl 0.243 0.554 0.251
Cl3 Cl 0.447 0.093 0.741
```

[2]
Density functional theory data (PBE) for Mg16Al12Au after structural relaxation.

The value obtained for the energy relative to the lowest polymorph listed for this composition is 0 meV per atom. Its energy of formation from the pure elements is -0.07 eV/atom.

Cell and atoms, written as CIF:
```
data_Mg16Al12Au
_symmetry_space_group_name_H-M 'C 1 m 1'
_symmetry_Int_Tables_number 8
_cell_length_a 10.496
_cell_length_b 14.734
_cell_length_c 9.076
_cell_angle_alpha 90.00
_cell_angle_beta 124.85
_cell_angle_gamma 90.00
loop_
_symmetry_equiv_pos_as_xyz
'x,y,z'
'x,-y,z'
'x+1/2,y+1/2,z'
'x+1/2,-y+1/2,z'
loop_
_atom_site_label
_atom_site_type_symbol
_atom_site_fract_x
_atom_site_fract_y
_atom_site_fract_z
Mg1 Mg 0.000 0.000 0.000
Mg2 Mg 0.007 0.000 0.348
Mg3 Mg 0.061 0.345 0.405
Mg4 Mg 0.132 0.500 0.669
Mg5 Mg 0.156 0.159 0.603
Mg6 Mg 0.178 0.175 0.998
Mg7 Mg 0.195 0.500 0.298
Mg8 Mg 0.304 0.299 0.323
Mg9 Mg 0.461 0.130 0.994
Mg10 Mg 0.488 0.191 0.691
Al1 Al 0.009 0.188 0.190
Al2 Al 0.184 0.000 0.817
Al3 Al 0.240 0.408 0.017
Al4 Al 0.276 0.093 0.364
Al5 Al 0.322 0.314 0.823
Al6 Al 0.367 0.000 0.178
Al7 Al 0.408 0.407 0.641
Au1 Au 0.336 0.000 0.660
```

[3]
Density functional theory data (PBE) for TlPd4Au4 after structural relaxation.

The value obtained for the energy relative to the lowest polymorph listed for this composition is 0 meV per atom. Its energy of formation from the pure elements is -0.11 eV/atom.

Cell and atoms, written as CIF:
```
data_TlPd4Au4
_symmetry_space_group_name_H-M 'I 4/m m m'
_symmetry_Int_Tables_number 139
_symmetry_space_group_name_Hall '-I 4 2'
_cell_length_a 8.824
_cell_length_b 8.824
_cell_length_c 3.992
_cell_angle_alpha 90.00
_cell_angle_beta 90.00
_cell_angle_gamma 90.00
loop_
_atom_site_label
_atom_site_type_symbol
_atom_site_fract_x
_atom_site_fract_y
_atom_site_fract_z
Tl1 Tl 0.000 0.000 0.000
Pd1 Pd 0.167 0.167 0.500
Au1 Au 0.000 0.333 0.000
```